# 1
DFT (GGA-PBE) results for a relaxed NaAlHg2 crystal.

## Properties
The total moment comes out at 0.00 μB/cell. The calculation puts the calculated volume at 23.15 Å³/atom. As for the calculated formation energy: -0.039 eV/atom. Its space group is P4/mmm (123).

a = 3.592 Å, b = 3.592 Å, c = 7.175 Å
α = 90.00°, β = 90.00°, γ = 90.00°
Fractional coordinates of all 4 atoms:
Hg  0.000  0.000  0.772
Hg  0.000  0.000  0.228
Al  0.500  0.500  0.000
Na  0.500  0.500  0.500

=====

# 2
DFT (GGA-PBE) results for a relaxed Li6MgHg3 crystal.

## Properties
The total moment comes out at 0.00 μB/cell. The calculation puts the calculated volume at 19.61 Å³/atom. As for the calculated formation energy: -0.214 eV/atom. Its space group is Cmc2_1 (36).

a = 7.094 Å, b = 7.440 Å, c = 7.440 Å
α = 92.77°, β = 90.00°, γ = 90.00°
Fractional coordinates of all 20 atoms:
Li  0.832  0.349  0.002
Li  0.332  0.002  0.349
Hg  0.915  0.704  0.967
Li  0.580  0.300  0.700
Li  0.332  0.651  0.998
Li  0.138  0.015  0.985
Mg  0.661  0.706  0.294
Hg  0.870  0.472  0.528
Hg  0.415  0.296  0.033
Li  0.832  0.998  0.651
Li  0.621  0.269  0.331
Li  0.621  0.669  0.731
Hg  0.370  0.528  0.472
Mg  0.161  0.294  0.706
Li  0.121  0.331  0.269
Hg  0.915  0.033  0.296
Li  0.080  0.700  0.300
Hg  0.415  0.967  0.704
Li  0.121  0.731  0.669
Li  0.638  0.985  0.015

=====

# 3
DFT (GGA-PBE) results for a relaxed NiAgSe2 crystal.

## Properties
The total moment comes out at 0.00 μB/cell. The calculation puts the formation energy (no corrections) at -141 meV per atom. The calculation puts the calculated volume at 20.49 Å³/atom. Its space group is P-1 (2). The polymorph energy (0 for the lowest one) comes out at 6 meV per atom.

a = 7.393 Å, b = 6.892 Å, c = 4.135 Å
α = 72.37°, β = 90.14°, γ = 123.43°
Fractional coordinates of all 8 atoms:
Se  0.355  0.786  0.858
Se  0.849  0.205  0.147
Ni  0.741  0.972  0.764
Se  0.615  0.551  0.974
Ni  0.229  0.365  0.068
Se  0.121  0.132  0.685
Ag  0.744  0.408  0.546
Ag  0.226  0.928  0.286

=====

Q: Which value of total moment does entry 3 give?
A: 0.00 μB/cell